(1)
VASP calculation (GGA-PBE) on a geometry-optimized AgPd8Pt3 structure.

The structure in CIF format:
```
data_AgPd8Pt3
_symmetry_space_group_name_H-M 'P 1'
_symmetry_Int_Tables_number 1
_cell_length_a 7.127
_cell_length_b 7.127
_cell_length_c 7.127
_cell_angle_alpha 78.94
_cell_angle_beta 126.58
_cell_angle_gamma 126.58
loop_
_symmetry_equiv_pos_as_xyz
'x,y,z'
loop_
_atom_site_label
_atom_site_fract_x
_atom_site_fract_y
_atom_site_fract_z
Pd1 0.512 0.129 0.129
Pd2 0.000 0.383 0.871
Pd3 0.000 0.871 0.383
Pd4 0.512 0.383 0.383
Pd5 0.488 0.617 0.617
Pd6 0.000 0.617 0.129
Ag1 0.000 0.000 0.000
Pd7 0.488 0.871 0.871
Pt1 0.500 0.750 0.250
Pt2 0.000 0.500 0.500
Pt3 0.500 0.250 0.750
Pd8 0.000 0.129 0.617
```

Output
The value obtained for the excess energy over the best structure of this formula in the dataset is 7.21 kcal/mol of atoms. As for the crystal system: tetragonal. The calculation puts the energy of formation at 4.815 eV per formula unit.

(2)
VASP calculation (GGA-PBE) on a geometry-optimized SrTl3Zn structure.

The structure in CIF format:
```
data_SrTl3Zn
_symmetry_space_group_name_H-M 'P 1'
_symmetry_Int_Tables_number 1
_cell_length_a 4.886
_cell_length_b 9.892
_cell_length_c 11.942
_cell_angle_alpha 90.00
_cell_angle_beta 90.00
_cell_angle_gamma 90.00
loop_
_symmetry_equiv_pos_as_xyz
'x,y,z'
loop_
_atom_site_label
_atom_site_fract_x
_atom_site_fract_y
_atom_site_fract_z
Sr1 0.750 0.301 0.507
Sr2 0.750 0.801 0.993
Sr3 0.250 0.199 0.007
Tl1 0.750 0.121 0.204
Zn1 0.250 0.601 0.854
Tl2 0.250 0.379 0.704
Tl3 0.750 0.929 0.595
Sr4 0.250 0.699 0.493
Tl4 0.250 0.571 0.095
Tl5 0.750 0.621 0.296
Zn2 0.750 0.399 0.146
Tl6 0.250 0.878 0.193
Tl7 0.750 0.622 0.693
Tl8 0.250 0.378 0.307
Tl9 0.750 0.429 0.905
Zn3 0.750 0.899 0.354
Tl10 0.250 0.879 0.796
Tl11 0.250 0.071 0.405
Tl12 0.750 0.122 0.807
Zn4 0.250 0.101 0.646
```

Output
The value obtained for the excess energy over the best structure of this formula in the dataset is 0.00 kcal/mol of atoms. As for the crystal system: orthorhombic. The calculation puts the energy of formation at -0.804 eV per formula unit.

(3)
VASP calculation (GGA-PBE) on a geometry-optimized LiSc structure.

The structure in CIF format:
```
data_LiSc
_symmetry_space_group_name_H-M 'P 1'
_symmetry_Int_Tables_number 1
_cell_length_a 5.587
_cell_length_b 5.587
_cell_length_c 5.587
_cell_angle_alpha 32.61
_cell_angle_beta 32.61
_cell_angle_gamma 32.61
loop_
_symmetry_equiv_pos_as_xyz
'x,y,z'
loop_
_atom_site_label
_atom_site_fract_x
_atom_site_fract_y
_atom_site_fract_z
Li1 0.000 0.000 0.000
Sc1 0.500 0.500 0.500
```

Output
The value obtained for the excess energy over the best structure of this formula in the dataset is 2.71 kcal/mol of atoms. As for the crystal system: trigonal. The calculation puts the energy of formation at 0.418 eV per formula unit.

(4)
VASP calculation (GGA-PBE) on a geometry-optimized K3VSn structure.

The structure in CIF format:
```
data_K3VSn
_symmetry_space_group_name_H-M 'P 1'
_symmetry_Int_Tables_number 1
_cell_length_a 6.741
_cell_length_b 6.741
_cell_length_c 6.741
_cell_angle_alpha 90.00
_cell_angle_beta 90.00
_cell_angle_gamma 90.00
loop_
_symmetry_equiv_pos_as_xyz
'x,y,z'
loop_
_atom_site_label
_atom_site_fract_x
_atom_site_fract_y
_atom_site_fract_z
K1 0.500 0.000 0.000
Sn1 0.000 0.000 0.000
V1 0.500 0.500 0.500
K2 0.000 0.000 0.500
K3 0.000 0.500 0.000
```

Output
The value obtained for the excess energy over the best structure of this formula in the dataset is 0.00 kcal/mol of atoms. As for the crystal system: cubic. The calculation puts the energy of formation at 4.768 eV per formula unit.